1.
The following is a DFT calculation (PBE) of an optimized crystal structure of YBe2.

Lattice parameters (Å, degrees): 5.3158 5.3158 7.5051 90.00 90.00 120.00
Last column: nearest neighbours and their distance in Å.
Fractional positions:
1 Y 0.3333 0.6667 0.0368  12 Be 2.81-3.11, 3 Y 3.12
2 Y 0.3333 0.6667 0.4632  12 Be 2.81-3.11, 3 Y 3.12
3 Y 0.6667 0.3333 0.5368  12 Be 2.81-3.11, 3 Y 3.12
4 Y 0.6667 0.3333 0.9632  12 Be 2.81-3.11, 3 Y 3.12
5 Be 0.0000 0.0000 0.0000  6 Be 2.26
6 Be 0.0000 0.0000 0.5000  6 Be 2.26
7 Be 0.1369 0.2737 0.7500  4 Be 2.18-2.26
8 Be 0.1369 0.8631 0.7500  4 Be 2.18-2.26
9 Be 0.2737 0.1369 0.2500  4 Be 2.18-2.26
10 Be 0.7263 0.8631 0.7500  4 Be 2.18-2.26
11 Be 0.8631 0.1369 0.2500  4 Be 2.18-2.26
12 Be 0.8631 0.7263 0.2500  4 Be 2.18-2.26

Results
Energy relative to the elements   0.1 eV/f.u.



2.
The following is a DFT calculation (PBE) of an optimized crystal structure of K2In6Hg.

Lattice parameters (Å, degrees): 6.8384 6.8384 6.7850 90.15 90.15 59.84
Last column: nearest neighbours and their distance in Å.
Fractional positions:
1 K 0.1664 0.1664 0.1363  12 In 3.68-4.02, 3 Hg 4.05-4.06
2 K 0.8336 0.8336 0.8637  12 In 3.68-4.02, 3 Hg 4.05-4.06
3 In 0.1466 0.6770 0.3379  4 In 3.03-3.20, 1 Hg 3.10
4 In 0.3223 0.3223 0.6607  4 In 3.03-3.20, 1 Hg 3.12
5 In 0.3230 0.8534 0.6621  4 In 3.03-3.20, 1 Hg 3.10
6 In 0.6770 0.1466 0.3379  4 In 3.03-3.20, 1 Hg 3.10
7 In 0.6777 0.6777 0.3393  4 In 3.03-3.20, 1 Hg 3.12
8 In 0.8534 0.3230 0.6621  4 In 3.03-3.20, 1 Hg 3.10
9 Hg 0.5000 0.5000 0.0000  6 In 3.10-3.12

Results
Energy relative to the elements   -0.9 eV/f.u.